Run w
Below is crystalline YZnCuAg at its relaxed geometry, with properties calculated at the GGA-PBE level.

Results
Total moment: 0.01 μB per cell

a b c (Å): 6.6717 6.6717 6.6717
angles (deg): 90.00 90.00 90.00
Space group F-43m (No. 216)
Asymmetric unit:
Y: 0.0000 0.0000 0.0000 [4 per cell]
Zn: 0.0000 0.0000 0.5000 [4 per cell]
Cu: 0.2500 0.2500 0.7500 [4 per cell]
Ag: 0.2500 0.2500 0.2500 [4 per cell]

***

Run x
Below is crystalline YZnCuAg at its relaxed geometry, with properties calculated at the GGA-PBE level.

Results
Total moment: 0.05 μB per cell

a b c (Å): 6.6901 6.6901 6.6901
angles (deg): 90.00 90.00 90.00
Space group F-43m (No. 216)
Asymmetric unit:
Y: 0.0000 0.0000 0.0000 [4 per cell]
Zn: 0.2500 0.2500 0.2500 [4 per cell]
Cu: 0.0000 0.0000 0.5000 [4 per cell]
Ag: 0.2500 0.2500 0.7500 [4 per cell]

***

Short version: run w is the most stable of them.

***

Run w
Below is crystalline Zn2Cu3Ag3 at its relaxed geometry, with properties calculated at the GGA-PBE level.

a b c (Å): 5.5635 5.5635 4.4237
angles (deg): 90.00 90.00 120.00
Space group P-6m2 (No. 187)
Asymmetric unit:
Zn: 0.0000 0.0000 0.0000 [1 per cell]
Zn: 0.3333 0.6667 0.5000 [1 per cell]
Cu: 0.0150 0.5075 0.0000 [3 per cell]
Ag: 0.3354 0.1677 0.5000 [3 per cell]

***

Run x
Below is crystalline Zn2Cu3Ag3 at its relaxed geometry, with properties calculated at the GGA-PBE level.

a b c (Å): 5.5095 4.4513 5.5207
angles (deg): 90.00 119.39 90.00
Space group Pm (No. 6)
Asymmetric unit:
Zn: 0.0000 0.0000 0.0000 [1 per cell]
Zn: 0.3496 0.5000 0.6723 [1 per cell]
Cu: 0.5195 0.0000 0.5166 [1 per cell]
Cu: 0.8346 0.5000 0.6794 [1 per cell]
Cu: 0.8449 0.5000 0.1706 [1 per cell]
Ag: 0.0077 0.0000 0.5082 [1 per cell]
Ag: 0.3398 0.5000 0.1836 [1 per cell]
Ag: 0.5154 0.0000 0.0037 [1 per cell]

***

Short version: run x is the most stable of them.

***

Run w
Below is crystalline DyAgMo at its relaxed geometry, with properties calculated at the GGA-PBE level.

Results
Total moment: 11.50 μB per cell

a b c (Å): 6.6347 6.6347 6.6347
angles (deg): 90.00 90.00 90.00
Space group F-43m (No. 216)
Asymmetric unit:
Dy: 0.0000 0.0000 0.0000 [4 per cell]
Ag: 0.0000 0.0000 0.5000 [4 per cell]
Mo: 0.2500 0.2500 0.7500 [4 per cell]

***

Run x
Below is crystalline DyAgMo at its relaxed geometry, with properties calculated at the GGA-PBE level.

Results
Total moment: 11.70 μB per cell

a b c (Å): 6.6685 6.6685 6.6685
angles (deg): 90.00 90.00 90.00
Space group F-43m (No. 216)
Asymmetric unit:
Dy: 0.0000 0.0000 0.0000 [4 per cell]
Ag: 0.2500 0.2500 0.7500 [4 per cell]
Mo: 0.2500 0.2500 0.2500 [4 per cell]

***

Short version: run w is the most stable of them.

***

Run w
Below is crystalline DyNbAg at its relaxed geometry, with properties calculated at the GGA-PBE level.

Results
Total moment: 5.73 μB per cell

a b c (Å): 6.6694 6.6694 6.6694
angles (deg): 90.00 90.00 90.00
Space group F-43m (No. 216)
Asymmetric unit:
Dy: 0.0000 0.0000 0.0000 [4 per cell]
Nb: 0.2500 0.2500 0.7500 [4 per cell]
Ag: 0.0000 0.0000 0.5000 [4 per cell]

***

Run x
Below is crystalline DyNbAg at its relaxed geometry, with properties calculated at the GGA-PBE level.

Results
Total moment: 12.21 μB per cell

a b c (Å): 6.7721 6.7721 6.7721
angles (deg): 90.00 90.00 90.00
Space group F-43m (No. 216)
Asymmetric unit:
Dy: 0.0000 0.0000 0.0000 [4 per cell]
Nb: 0.2500 0.2500 0.2500 [4 per cell]
Ag: 0.2500 0.2500 0.7500 [4 per cell]

***

Short version: run w is the most stable of them.

***

Run w
Below is crystalline NdDyAg2 at its relaxed geometry, with properties calculated at the GGA-PBE level.

Results
Total moment: 0.11 μB per cell

a b c (Å): 3.6477 3.6477 7.4889
angles (deg): 90.00 90.00 90.00
Space group P4/mmm (No. 123)
Asymmetric unit:
Nd: 0.0000 0.0000 0.0000 [1 per cell]
Dy: 0.0000 0.0000 0.5000 [1 per cell]
Ag: 0.5000 0.5000 0.2693 [2 per cell]

***

Run x
Below is crystalline NdDyAg2 at its relaxed geometry, with properties calculated at the GGA-PBE level.

Results
Total moment: 0.01 μB per cell

a b c (Å): 4.8200 7.3551 5.7433
angles (deg): 90.00 90.00 90.00
Space group Pmn2_1 (No. 31)
Asymmetric unit:
Nd: 0.0000 0.0686 0.0000 [2 per cell]
Dy: 0.0000 0.5697 0.2171 [2 per cell]
Ag: 0.0000 0.2270 0.5036 [2 per cell]
Ag: 0.0000 0.6963 0.7186 [2 per cell]

***

Short version: run w is the most stable of them.

***

Run w
Below is crystalline DyAgPO at its relaxed geometry, with properties calculated at the GGA-PBE level.

Results
Total moment: 0.00 μB per cell

a b c (Å): 4.1386 6.2632 5.5499
angles (deg): 90.00 90.00 90.00
Space group Pmc2_1 (No. 26)
Asymmetric unit:
Dy: 0.0000 0.2432 0.0000 [2 per cell]
Ag: 0.5000 0.3445 0.4700 [2 per cell]
P: 0.5000 0.0163 0.7384 [2 per cell]
O: 0.0000 0.4645 0.3003 [2 per cell]

***

Run x
Below is crystalline DyAgPO at its relaxed geometry, with properties calculated at the GGA-PBE level.

Results
Total moment: 0.01 μB per cell

a b c (Å): 3.9543 3.9543 8.7410
angles (deg): 90.00 90.00 90.00
Space group P4/nmm (No. 129, origin choice 2)
Asymmetric unit:
Dy: 0.2500 0.2500 0.1238 [2 per cell]
Ag: 0.2500 0.7500 0.5000 [2 per cell]
P: 0.2500 0.2500 0.6906 [2 per cell]
O: 0.2500 0.7500 0.0000 [2 per cell]

***

Short version: run x is the most stable of them.

***

Run w
Below is crystalline DyAgPbS3 at its relaxed geometry, with properties calculated at the GGA-PBE level.

Results
Total moment: 0.00 μB per cell

a b c (Å): 11.8804 4.0899 11.6814
angles (deg): 90.00 90.00 90.00
Space group Pnma (No. 62)
Asymmetric unit:
Dy: 0.0272 0.2500 0.1678 [4 per cell]
Ag: 0.2438 0.7500 0.3133 [4 per cell]
Pb: 0.1628 0.2500 0.5196 [4 per cell]
S: 0.0322 0.7500 0.3410 [4 per cell]
S: 0.0864 0.2500 0.9332 [4 per cell]
S: 0.2432 0.7500 0.6711 [4 per cell]

***

Run x
Below is crystalline DyAgPbS3 at its relaxed geometry, with properties calculated at the GGA-PBE level.

Results
Total moment: 0.01 μB per cell

a b c (Å): 7.5225 4.0159 9.7623
angles (deg): 90.00 105.74 90.00
Space group P2_1/m (No. 11)
Asymmetric unit:
Dy: 0.2004 0.2500 0.1524 [2 per cell]
Ag: 0.3997 0.7500 0.4071 [2 per cell]
Pb: 0.2239 0.7500 0.6976 [2 per cell]
S: 0.0634 0.2500 0.8638 [2 per cell]
S: 0.2045 0.2500 0.4489 [2 per cell]
S: 0.4501 0.7500 0.1630 [2 per cell]

***

Short version: run x is the most stable of them.

***

Run w
Below is crystalline DyAgPbS3 at its relaxed geometry, with properties calculated at the GGA-PBE level.

Results
Total moment: 0.00 μB per cell

a b c (Å): 17.3646 3.9555 8.3891
angles (deg): 90.00 103.71 90.00
Space group C2/m (No. 12)
Asymmetric unit:
Dy: 0.1643 0.0000 0.0881 [4 per cell]
Ag: 0.0245 0.5000 0.2129 [4 per cell]
Pb: 0.1336 0.0000 0.5743 [4 per cell]
S: 0.0000 0.0000 0.0000 [2 per cell]
S: 0.0000 0.5000 0.5000 [2 per cell]
S: 0.1729 0.5000 0.8629 [4 per cell]
S: 0.1813 0.5000 0.3200 [4 per cell]

***

Run x
Below is crystalline DyAgPbS3 at its relaxed geometry, with properties calculated at the GGA-PBE level.

Results
Total moment: 0.02 μB per cell

a b c (Å): 4.0203 13.2420 10.3787
angles (deg): 90.00 90.00 90.00
Space group Cmcm (No. 63)
Asymmetric unit:
Dy: 0.0000 0.0000 0.0000 [4 per cell]
Ag: 0.0000 0.4645 0.2500 [4 per cell]
Pb: 0.0000 0.2497 0.7500 [4 per cell]
S: 0.0000 0.0872 0.2500 [4 per cell]
S: 0.0000 0.3601 0.0509 [8 per cell]

***

Run y
Below is crystalline DyAgPbS3 at its relaxed geometry, with properties calculated at the GGA-PBE level.

Results
Total moment: 0.01 μB per cell

a b c (Å): 10.4710 4.0338 13.1702
angles (deg): 90.00 90.00 90.00
Space group Pnma (No. 62)
Asymmetric unit:
Dy: 0.0198 0.2500 0.2396 [4 per cell]
Ag: 0.2339 0.2500 0.7182 [4 per cell]
Pb: 0.2162 0.7500 0.4978 [4 per cell]
S: 0.0317 0.2500 0.6158 [4 per cell]
S: 0.0751 0.7500 0.1071 [4 per cell]
S: 0.2345 0.7500 0.8389 [4 per cell]

***

Run z
Below is crystalline DyAgPbS3 at its relaxed geometry, with properties calculated at the GGA-PBE level.

Results
Total moment: 0.00 μB per cell

a b c (Å): 8.1415 4.1747 16.0619
angles (deg): 90.00 90.00 90.00
Space group Pnma (No. 62)
Asymmetric unit:
Dy: 0.2398 0.2500 0.0369 [4 per cell]
Ag: 0.1244 0.2500 0.3653 [4 per cell]
Pb: 0.0858 0.2500 0.7698 [4 per cell]
S: 0.0354 0.2500 0.5878 [4 per cell]
S: 0.1150 0.7500 0.9477 [4 per cell]
S: 0.1797 0.2500 0.2071 [4 per cell]

***

Short version: run w is the most stable of them.

***

Run w
Below is crystalline DyAgTe3Pb at its relaxed geometry, with properties calculated at the GGA-PBE level.

Results
Total moment: 0.01 μB per cell

a b c (Å): 14.6561 4.3516 11.6699
angles (deg): 90.00 90.00 90.00
Space group Pnma (No. 62)
Asymmetric unit:
Dy: 0.0092 0.2500 0.1754 [4 per cell]
Ag: 0.0077 0.7500 0.4127 [4 per cell]
Te: 0.1099 0.2500 0.9405 [4 per cell]
Te: 0.1217 0.7500 0.6214 [4 per cell]
Te: 0.1485 0.7500 0.2457 [4 per cell]
Pb: 0.2192 0.2500 0.4456 [4 per cell]

***

Run x
Below is crystalline DyAgTe3Pb at its relaxed geometry, with properties calculated at the GGA-PBE level.

Results
Total moment: 0.01 μB per cell

a b c (Å): 11.3152 4.3585 14.7127
angles (deg): 90.00 90.00 90.00
Space group Pnma (No. 62)
Asymmetric unit:
Dy: 0.0192 0.2500 0.2435 [4 per cell]
Ag: 0.2400 0.2500 0.7210 [4 per cell]
Te: 0.0361 0.2500 0.6097 [4 per cell]
Te: 0.0719 0.7500 0.0999 [4 per cell]
Te: 0.2341 0.7500 0.8437 [4 per cell]
Pb: 0.2239 0.7500 0.5168 [4 per cell]

***

Short version: run w is the most stable of them.

***

Run w
Below is crystalline DyAgPt at its relaxed geometry, with properties calculated at the GGA-PBE level.

Results
Total moment: 0.00 μB per cell

a b c (Å): 6.5626 6.5626 6.5626
angles (deg): 90.00 90.00 90.00
Space group F-43m (No. 216)
Asymmetric unit:
Dy: 0.0000 0.0000 0.0000 [4 per cell]
Ag: 0.0000 0.0000 0.5000 [4 per cell]
Pt: 0.2500 0.2500 0.7500 [4 per cell]

***

Run x
Below is crystalline DyAgPt at its relaxed geometry, with properties calculated at the GGA-PBE level.

Results
Total moment: 0.00 μB per cell

a b c (Å): 6.6199 6.6199 6.6199
angles (deg): 90.00 90.00 90.00
Space group F-43m (No. 216)
Asymmetric unit:
Dy: 0.0000 0.0000 0.0000 [4 per cell]
Ag: 0.2500 0.2500 0.7500 [4 per cell]
Pt: 0.2500 0.2500 0.2500 [4 per cell]

***

Short version: run w is the most stable of them.